Record 1
{
  "formula": "HoNiGe2Pd",
  "functional": "GGA-PBE",
  "state": "optimized geometry",
  "cell": [[5.012, -2.955, 0.237], [0.063, -5.320, 2.366], [-3.108, 2.959, -3.936]],
  "species": ["Ho", "Ni", "Pd", "Ge", "Ge"],
  "frac_coords": [[0.250, 0.750, 0.500], [0.500, 0.500, 0.000], [0.000, 0.000, 0.000], [0.628, 0.128, 0.500], [0.872, 0.372, 0.500]],
  "space_group": "No. 119",
  "total_energy_ev_per_atom": -5.622
}

Record 2
{
  "formula": "HoSiNiGe2",
  "functional": "GGA-PBE",
  "state": "optimized geometry",
  "cell": [[2.044, -10.743, 0.000], [2.044, 10.743, 0.000], [0.000, 0.000, 3.981]],
  "species": ["Ge", "Ge", "Ge", "Ge", "Ni", "Ni", "Ho", "Ho", "Si", "Si"],
  "frac_coords": [[0.057, 0.943, 0.500], [0.943, 0.057, 0.500], [0.283, 0.717, 0.500], [0.717, 0.283, 0.500], [0.391, 0.609, 0.500], [0.609, 0.391, 0.500], [0.168, 0.832, 0.000], [0.832, 0.168, 0.000], [0.556, 0.444, 0.000], [0.444, 0.556, 0.000]],
  "space_group": "No. 65",
  "total_energy_ev_per_atom": -5.561,
  "e_above_lowest_polymorph_ev_per_atom": 0.006
}

Record 3
{
  "formula": "HoSiNiGe2",
  "functional": "GGA-PBE",
  "state": "optimized geometry",
  "cell": [[2.019, -10.696, 0.000], [2.019, 10.696, 0.000], [0.000, 0.000, 4.053]],
  "species": ["Ho", "Ho", "Ge", "Ge", "Ge", "Ge", "Ni", "Ni", "Si", "Si"],
  "frac_coords": [[0.672, 0.328, 0.000], [0.328, 0.672, 0.000], [0.942, 0.058, 0.000], [0.058, 0.942, 0.000], [0.558, 0.442, 0.500], [0.442, 0.558, 0.500], [0.115, 0.885, 0.500], [0.885, 0.115, 0.500], [0.781, 0.219, 0.500], [0.219, 0.781, 0.500]],
  "space_group": "No. 65",
  "total_energy_ev_per_atom": -5.567,
  "e_above_lowest_polymorph_ev_per_atom": 0.000
}

Record 4
{
  "formula": "Ho3Si2Ni4Ge2",
  "functional": "GGA-PBE",
  "state": "optimized geometry",
  "cell": [[6.580, 2.898, 2.955], [1.407, 7.638, -0.346], [-4.344, -5.943, 2.497]],
  "species": ["Si", "Si", "Ge", "Ge", "Ho", "Ho", "Ho", "Ni", "Ni", "Ni", "Ni"],
  "frac_coords": [[0.217, 0.217, 0.000], [0.783, 0.783, 0.000], [0.305, 0.500, 0.805], [0.695, 0.500, 0.195], [0.000, 0.000, 0.000], [0.371, 0.871, 0.500], [0.629, 0.129, 0.500], [0.621, 0.317, 0.304], [0.014, 0.317, 0.696], [0.379, 0.683, 0.696], [0.986, 0.683, 0.304]],
  "space_group": "No. 71",
  "total_energy_ev_per_atom": -5.895
}

Record 5
{
  "formula": "HoSiNiGe2",
  "functional": "GGA-PBE",
  "state": "optimized geometry",
  "cell": [[1.995, -10.765, 0.000], [1.995, 10.765, 0.000], [0.000, 0.000, 4.079]],
  "species": ["Ge", "Ge", "Ge", "Ge", "Si", "Si", "Ho", "Ho", "Ni", "Ni"],
  "frac_coords": [[0.943, 0.057, 0.000], [0.216, 0.784, 0.500], [0.784, 0.216, 0.500], [0.057, 0.943, 0.000], [0.444, 0.556, 0.500], [0.556, 0.444, 0.500], [0.668, 0.332, 0.000], [0.332, 0.668, 0.000], [0.109, 0.891, 0.500], [0.891, 0.109, 0.500]],
  "space_group": "No. 65",
  "total_energy_ev_per_atom": -5.560,
  "e_above_lowest_polymorph_ev_per_atom": 0.007
}

Record 6
{
  "formula": "HoSi2NiGe",
  "functional": "GGA-PBE",
  "state": "optimized geometry",
  "cell": [[1.967, -10.593, 0.000], [1.967, 10.593, 0.000], [0.000, 0.000, 4.048]],
  "species": ["Ho", "Ho", "Si", "Si", "Si", "Si", "Ge", "Ge", "Ni", "Ni"],
  "frac_coords": [[0.330, 0.670, 0.000], [0.670, 0.330, 0.000], [0.557, 0.443, 0.500], [0.218, 0.782, 0.500], [0.443, 0.557, 0.500], [0.782, 0.218, 0.500], [0.057, 0.943, 0.000], [0.943, 0.057, 0.000], [0.888, 0.112, 0.500], [0.112, 0.888, 0.500]],
  "space_group": "No. 65",
  "total_energy_ev_per_atom": -5.760
}